Record 1
A plane-wave DFT calculation with PBE was carried out for an optimized crystal structure of RbAcGaS4.

Total magnetization   0.00 μB/atom
Symmetry   No. 11
Formation energy without anion corrections   -1.313 eV/atom
Crystal system   monoclinic

The structure in POSCAR format:
```
RbAcGaS4
1.0
7.3303 0.0000 0.1683
0.0000 5.8846 0.0000
-2.6610 0.0000 9.3460
Rb S Ac Ga
2 8 2 2
Direct
0.7392 0.7500 0.9585
0.2608 0.2500 0.0415
0.0038 0.4824 0.2838
0.3922 0.7500 0.5557
0.0038 0.0176 0.2838
0.6078 0.2500 0.4443
0.9962 0.5176 0.7162
0.4368 0.7500 0.1730
0.9962 0.9824 0.7162
0.5632 0.2500 0.8270
0.2552 0.2500 0.5599
0.7448 0.7500 0.4401
0.7547 0.2500 0.6826
0.2453 0.7500 0.3174
```

***

Record 2
A plane-wave DFT calculation with PBE was carried out for an optimized crystal structure of Rb3Ac3GaSe8.

Total magnetization   0.03 μB/atom
Symmetry   No. 12
Formation energy without anion corrections   -1.376 eV/atom
Crystal system   monoclinic

The structure in POSCAR format:
```
Rb3Ac3GaSe8
1.0
-3.8333 7.1474 3.7148
-4.9391 -7.1279 -2.0915
5.9426 -0.7638 7.6002
Se Ga Ac Rb
8 1 3 3
Direct
0.7902 0.0221 0.3124
0.2319 0.0221 0.3124
0.2075 0.4150 0.6858
0.7681 0.9779 0.6876
0.7925 0.5850 0.3142
0.2632 0.5265 0.2901
0.2098 0.9779 0.6876
0.7368 0.4735 0.7099
0.0000 0.0000 0.5000
0.0000 0.5000 0.5000
0.5000 0.5000 0.5000
0.5000 0.0000 0.5000
0.0000 0.5000 0.0000
0.0000 0.0000 0.0000
0.5000 0.5000 0.0000
```

***

Record 3
A plane-wave DFT calculation with PBE was carried out for an optimized crystal structure of Rb2AcGaSe4.

Total magnetization   0.00 μB/atom
Symmetry   No. 15
Formation energy without anion corrections   -1.133 eV/atom
Crystal system   monoclinic

The structure in POSCAR format:
```
Rb2AcGaSe4
1.0
-4.3335 7.7613 -1.5308
-7.4882 -4.7977 -1.5067
4.3762 -1.0836 8.1434
Se Rb Ga Ac
8 4 2 2
Direct
0.7654 0.2927 0.5418
0.7928 0.2654 0.0418
0.2073 0.7346 0.9582
0.8240 0.8142 0.0155
0.6858 0.6760 0.4845
0.2346 0.7072 0.4582
0.1760 0.1858 0.9845
0.3142 0.3240 0.5155
0.5000 0.0000 0.0000
0.0000 0.0000 0.5000
0.5000 0.5000 0.0000
0.5000 0.0000 0.5000
0.5000 0.5000 0.5000
0.0000 0.0000 0.0000
0.0000 0.5000 0.0000
0.0000 0.5000 0.5000
```

***

Record 4
A plane-wave DFT calculation with PBE was carried out for an optimized crystal structure of RbAcGaTe3.

Total magnetization   0.00 μB/atom
Symmetry   No. 11
Formation energy without anion corrections   -1.031 eV/atom
Crystal system   monoclinic

The structure in POSCAR format:
```
RbAcGaTe3
1.0
5.0693 0.0000 0.0000
0.0000 9.9652 -0.0227
0.0000 -2.6564 10.3373
Te Ga Ac Rb
6 2 2 2
Direct
0.2500 0.5448 0.8305
0.7500 0.4552 0.1695
0.7500 0.8956 0.1519
0.7500 0.1882 0.5255
0.2500 0.1044 0.8481
0.2500 0.8118 0.4745
0.2500 0.1032 0.5882
0.7500 0.8968 0.4118
0.7500 0.3308 0.8529
0.2500 0.6692 0.1471
0.2500 0.1957 0.2333
0.7500 0.8043 0.7667
```

***

Record 5
A plane-wave DFT calculation with PBE was carried out for an optimized crystal structure of Rb2AcGaTe4.

Total magnetization   0.00 μB/atom
Symmetry   No. 15
Formation energy without anion corrections   -0.875 eV/atom
Crystal system   monoclinic

The structure in POSCAR format:
```
Rb2AcGaTe4
1.0
-5.8876 7.6502 -0.5283
-7.3045 -5.8731 2.3705
8.1700 0.3785 5.7593
Ac Rb Te Ga
2 4 8 2
Direct
0.0000 0.5000 0.5000
0.0000 0.5000 0.0000
0.5000 0.5000 0.0000
0.5000 0.0000 0.5000
0.0000 0.0000 0.5000
0.5000 0.0000 0.0000
0.2176 0.7433 0.9757
0.2433 0.7176 0.4757
0.1997 0.2114 0.0129
0.7824 0.2567 0.0243
0.7114 0.6997 0.5129
0.8003 0.7886 0.9871
0.7567 0.2824 0.5243
0.2886 0.3003 0.4871
0.0000 0.0000 0.0000
0.5000 0.5000 0.5000
```

***

Record 6
A plane-wave DFT calculation with PBE was carried out for an optimized crystal structure of AcGa3Re.

Total magnetization   0.00 μB/atom
Symmetry   No. 221
Formation energy   -0.310 eV per atom
Crystal system   cubic

The structure in POSCAR format:
```
AcGa3Re
1.0
4.8735 0.0000 0.0000
0.0000 4.8735 0.0000
0.0000 0.0000 4.8735
Ga Re Ac
3 1 1
Direct
0.0000 0.0000 0.5000
0.0000 0.5000 0.0000
0.5000 0.0000 0.0000
0.0000 0.0000 0.0000
0.5000 0.5000 0.5000
```

***

Record 7
A plane-wave DFT calculation with PBE was carried out for an optimized crystal structure of Ac2GaRe.

Total magnetization   0.26 μB/atom
Symmetry   No. 166
Formation energy   1.011 eV per atom
Crystal system   trigonal

The structure in POSCAR format:
```
Ac2GaRe
1.0
-2.6394 -2.2312 -0.2937
-0.5886 -2.3292 2.5018
-7.7096 5.6535 5.8539
Ac Re Ga
2 1 1
Direct
0.9144 0.9144 0.2567
0.0856 0.0856 0.7433
0.0000 0.0000 0.0000
0.5000 0.5000 0.5000
```

***

Record 8
A plane-wave DFT calculation with PBE was carried out for an optimized crystal structure of AcGa4Rh3.

Total magnetization   0.00 μB/atom
Symmetry   No. 123
Formation energy   -0.616 eV per atom
Crystal system   tetragonal

The structure in POSCAR format:
```
AcGa4Rh3
1.0
4.2180 0.0000 0.0000
0.0000 4.2180 0.0000
0.0000 0.0000 8.5499
Ga Ac Rh
4 1 3
Direct
0.0000 0.5000 0.1694
0.0000 0.5000 0.8306
0.5000 0.0000 0.1694
0.5000 0.0000 0.8306
0.0000 0.0000 0.5000
0.5000 0.5000 0.6617
0.5000 0.5000 0.3383
0.0000 0.0000 0.0000
```

***

Record 9
A plane-wave DFT calculation with PBE was carried out for an optimized crystal structure of AcGa2Rh.

Total magnetization   0.00 μB/atom
Symmetry   No. 65
Formation energy   -0.720 eV per atom
Relative energy among the computed polymorphs   0 meV per atom
Crystal system   orthorhombic

The structure in POSCAR format:
```
AcGa2Rh
1.0
4.3198 0.0000 0.0000
0.0000 4.2475 -1.0368
0.0000 0.1263 9.7363
Rh Ga Ac
2 4 2
Direct
0.5000 0.5752 0.1503
0.5000 0.4248 0.8497
0.5000 0.2883 0.5766
0.5000 0.7117 0.4234
0.0000 0.5000 0.0000
0.5000 0.0000 0.0000
0.0000 0.1418 0.2837
0.0000 0.8582 0.7163
```

***

Record 10
A plane-wave DFT calculation with PBE was carried out for an optimized crystal structure of Ac4GaRh4.

Total magnetization   0.00 μB/atom
Symmetry   No. 86
Formation energy   -0.628 eV per atom
Crystal system   tetragonal

The structure in POSCAR format:
```
Ac4GaRh4
1.0
5.8768 0.0000 0.0000
0.0000 8.9300 0.0000
0.0000 0.0000 8.9300
Ac Rh Ga
8 8 2
Direct
0.8874 0.0344 0.6881
0.3874 0.1881 0.9656
0.6126 0.8119 0.0344
0.1126 0.5344 0.1881
0.1126 0.9656 0.3119
0.3874 0.3119 0.5344
0.8874 0.4656 0.8119
0.6126 0.6881 0.4656
0.3951 0.5103 0.8561
0.6049 0.4897 0.1439
0.1049 0.6439 0.5103
0.3951 0.9897 0.6439
0.6049 0.0103 0.3561
0.8951 0.1439 0.0103
0.8951 0.3561 0.4897
0.1049 0.8561 0.9897
0.7500 0.2500 0.2500
0.2500 0.7500 0.7500
```

***

Record 11
A plane-wave DFT calculation with PBE was carried out for an optimized crystal structure of Ac2Ga3Rh.

Total magnetization   0.00 μB/atom
Symmetry   No. 25
Formation energy   -0.663 eV per atom
Crystal system   orthorhombic

The structure in POSCAR format:
```
Ac2Ga3Rh
1.0
-0.1199 4.4641 0.1832
-2.0251 0.1037 -3.8513
-6.9083 -0.3342 3.6235
Ga Ac Rh
3 2 1
Direct
0.5000 0.0000 0.8332
0.5000 0.5000 0.6645
0.5000 0.0000 0.1652
0.0000 0.5000 0.0142
0.0000 0.0000 0.4896
0.5000 0.5000 0.3332
```

***

Record 12
A plane-wave DFT calculation with PBE was carried out for an optimized crystal structure of Ac2Ga2Rh.

Total magnetization   0.00 μB/atom
Symmetry   No. 12
Formation energy   -0.645 eV per atom
Crystal system   monoclinic

The structure in POSCAR format:
```
Ac2Ga2Rh
1.0
-2.1143 2.6166 2.3536
-4.0806 -3.3314 3.6189
6.2670 0.0117 9.1978
Ga Ac Rh
4 4 2
Direct
0.3826 0.1216 0.1132
0.6174 0.8784 0.8868
0.0313 0.3506 0.5868
0.9687 0.6494 0.4132
0.0958 0.6914 0.1171
0.7189 0.2044 0.3578
0.2811 0.7956 0.6422
0.9042 0.3086 0.8829
0.5662 0.1731 0.6945
0.4338 0.8269 0.3055
```

***

How do the records compare in total energy? In the order shown, they have -4.829, -4.452, -4.010, -3.953, -3.580, -5.437, -4.912, -5.400, -5.098, -6.057, -4.771, -4.970 eV per atom.